Mn2Au | GGA-PBE | optimized geometry

VASP energy: -6.960 eV/atom
ΔE_f: 0.74 eV per formula unit
density: 11.02 g/cm3

Cell and atoms, written as CIF:
```
data_Mn2Au
_symmetry_space_group_name_H-M 'R 3 m'
_symmetry_Int_Tables_number 160
_symmetry_space_group_name_Hall 'R 3 -2"'
_cell_length_a 2.8833
_cell_length_b 2.8833
_cell_length_c 19.2717
_cell_angle_alpha 90.00
_cell_angle_beta 90.00
_cell_angle_gamma 120.00
loop_
_atom_site_label
_atom_site_fract_x
_atom_site_fract_y
_atom_site_fract_z
Mn1 0.0000 0.0000 0.0000
Mn2 0.0000 0.0000 0.2351
Au1 0.0000 0.0000 0.7837
```